DFT (PBE+U) results for a geometry-optimized NiGeF2 structure.

Cell and atoms, written as POSCAR:
```
NiGeF2
1.0
5.756 0.000 0.000
0.000 5.756 0.000
0.000 0.000 5.756
Ni Ge F
4 4 8
Direct
0.000 0.000 0.000 Ni
0.000 0.500 0.500 Ni
0.500 0.000 0.500 Ni
0.500 0.500 0.000 Ni
0.000 0.000 0.500 Ge
0.000 0.500 0.000 Ge
0.500 0.000 0.000 Ge
0.500 0.500 0.500 Ge
0.250 0.250 0.250 F
0.250 0.250 0.750 F
0.250 0.750 0.250 F
0.250 0.750 0.750 F
0.750 0.250 0.250 F
0.750 0.250 0.750 F
0.750 0.750 0.250 F
0.750 0.750 0.750 F
```

SG   Fm-3m
Energy   -3.1562 eV/atom
Energy above the most stable polymorph in this dataset   87.8 kJ per mole of atoms

DFT (PBE+U) results for a geometry-optimized CaEuCo4O12 structure.

Cell and atoms, written as POSCAR:
```
CaEuCo4O12
1.0
5.278 0.000 0.000
0.000 5.278 0.000
0.000 0.000 7.531
Ca Eu Co O
1 1 4 12
Direct
0.000 0.000 0.000 Ca
0.500 0.500 0.500 Eu
0.000 0.500 0.247 Co
0.000 0.500 0.753 Co
0.500 0.000 0.247 Co
0.500 0.000 0.753 Co
0.000 0.500 0.000 O
0.000 0.500 0.500 O
0.252 0.252 0.252 O
0.252 0.252 0.748 O
0.252 0.748 0.252 O
0.252 0.748 0.748 O
0.500 0.000 0.000 O
0.500 0.000 0.500 O
0.748 0.252 0.252 O
0.748 0.252 0.748 O
0.748 0.748 0.252 O
0.748 0.748 0.748 O
```

SG   P4/mmm
Energy   -6.0280 eV/atom